First-principles (PBE) data for crystalline FeTeAu2 at its relaxed geometry, as listed in Alexandria via LeMat-Bulk.

Computed properties:
**DOS(E_F)**: 1.18 states/eV/atom
**Calculated total energy**: -4.26 eV per atom
**Uncorrected formation energy**: 109 kJ/mol of formula units
**Mass density**: 11.54 Mg/m³

a b c (Å): 4.274 4.467 4.496
angles (deg): 75.41 90.00 90.00
Last column: magnetic moment on the atom in μB.
Element x y z (fractional)
Au1 0.000 0.031 0.031  0.06
Au2 0.000 0.469 0.469  0.06
Fe1 0.500 0.250 0.250  3.00
Te1 0.500 0.750 0.750  0.02